i:
Below is a relaxed AsPt3W crystal, with properties calculated at the PBE level.

Summary:
D(E_F) (states/eV/cell): 5.70

Cell: 4.848 4.848 4.848 Å, 90.00 90.00 90.00°
Space group Pm-3m (No. 221)
Inequivalent atoms, fractional coordinates:
As 0.000 0.000 0.000
Pt 0.000 0.500 0.500
W 0.500 0.500 0.500



ii:
Below is a relaxed AsPt3W crystal, with properties calculated at the PBE level.

Summary:
D(E_F) (states/eV/cell): 3.13

Cell: 4.623 4.623 4.623 Å, 90.00 90.00 90.00°
Space group Pm-3m (No. 221)
Inequivalent atoms, fractional coordinates:
As 0.000 0.000 0.000
Pt 0.000 0.000 0.500
W 0.500 0.500 0.500



Of them, i has the lowest stability.



i:
Below is a relaxed Y2AsPt crystal, with properties calculated at the PBE level.

Summary:
D(E_F) (states/eV/cell): 19.35

Cell: 6.445 6.445 12.725 Å, 90.00 90.00 90.00°
Space group I-42d (No. 122)
Inequivalent atoms, fractional coordinates:
Y 0.249 0.250 0.125
As 0.000 0.000 0.500
Pt 0.000 0.000 0.000



ii:
Below is a relaxed Y2AsPt crystal, with properties calculated at the PBE level.

Summary:
D(E_F) (states/eV/cell): 4.24

Cell: 4.070 4.070 10.752 Å, 90.00 90.00 90.00°
Space group I-4m2 (No. 119)
Inequivalent atoms, fractional coordinates:
Y 0.000 0.000 0.000
Y 0.000 0.500 0.250
As 0.000 0.500 0.750
Pt 0.000 0.000 0.500



iii:
Below is a relaxed Y2AsPt crystal, with properties calculated at the PBE level.

Summary:
D(E_F) (states/eV/cell): 2.16

Cell: 4.121 4.121 5.814 Å, 90.00 90.00 90.00°
Space group P4/mmm (No. 123)
Inequivalent atoms, fractional coordinates:
Y 0.000 0.000 0.000
Y 0.500 0.500 0.500
As 0.000 0.000 0.500
Pt 0.500 0.500 0.000



iv:
Below is a relaxed Y2AsPt crystal, with properties calculated at the PBE level.

Summary:
D(E_F) (states/eV/cell): 1.76

Cell: 3.568 3.568 6.963 Å, 90.00 90.49 90.00°
Space group P2/m (No. 10)
Inequivalent atoms, fractional coordinates:
Y 0.005 0.000 0.251
As 0.500 0.500 0.500
Pt 0.500 0.500 0.000



Of them, i has the lowest stability.